VASP calculation (PBE) on a geometry-optimized K2ZnOs structure.

As for the formation energy: 1.065 eV per atom. The final energy is -0.1918 Ry/atom. The total magnetization comes out at 0.0 μB per formula unit.

The structure belongs to space group C2/m (No. 12); the cell edges are 5.777, 11.070 and 2.787 Å and the angles 90.00°, 90.91° and 90.00°. The distinct sites, in fractional coordinates, are K at (0.250, 0.250, 0.000), Zn at (0.000, 0.000, 0.500) and Os at (0.000, 0.500, 0.500).